## SmY2Tm2Sc (PBE)

Data for crystalline SmY2Tm2Sc at its relaxed geometry.

```
SmY2Tm2Sc
1.0
6.4667 0.0000 0.0000
0.0000 17.4123 0.0000
0.0000 0.0000 3.3346
Sm Y Tm Sc
2 4 4 2
direct
0.0000 0.0000 0.0000
0.5000 0.5000 0.5000
0.2448 0.3162 0.0000
0.2552 0.8162 0.5000
0.7448 0.1838 0.5000
0.7552 0.6838 0.0000
0.2455 0.1451 0.5000
0.2545 0.6451 0.0000
0.7455 0.3549 0.0000
0.7545 0.8549 0.5000
0.0000 0.5000 0.0000
0.5000 0.0000 0.5000
```



## SmTmScZn (PBE)

Data for crystalline SmTmScZn at its relaxed geometry.

Calculated values
- relative energy among the computed polymorphs (meV/atom) = 153

```
SmTmScZn
1.0
0.0000 3.6960 3.6960
3.6960 0.0000 3.6960
3.6960 3.6960 0.0000
Sm Tm Sc Zn
1 1 1 1
direct
0.0000 0.0000 0.0000
0.5000 0.5000 0.5000
0.7500 0.7500 0.7500
0.2500 0.2500 0.2500
```



## SmTmScZn (PBE)

Data for crystalline SmTmScZn at its relaxed geometry.

Calculated values
- relative energy among the computed polymorphs (meV/atom) = 0

```
SmTmScZn
1.0
3.4569 0.0000 0.0000
0.0000 3.4569 0.0000
0.0000 0.0000 8.4851
Sm Tm Sc Zn
1 1 1 1
direct
0.0000 0.0000 0.0000
0.5000 0.5000 0.6908
0.5000 0.5000 0.2898
0.0000 0.0000 0.4715
```



| no. | calculated formation energy (eV per formula unit) |
| --- | --- |
| 1 | 1.7 |
| 2 | 0.0 |
| 3 | -0.6 |